(1)
# B3WCl, optimized geometry, DFT PBE-GGA
# Fermi-level density of states = 1.058 states/eV/atom
# Total magnetic moment = 1.3 μB per formula unit
# Energy = -5.232 eV per atom
# Energy above the lowest structure with this stoichiometry = 0.00 eV per formula unit
# Formation energy from raw total energies = 1734 meV per atom
data_B3WCl
_symmetry_space_group_name_H-M 'P m -3 m'
_symmetry_Int_Tables_number 221
_symmetry_space_group_name_Hall '-P 4 2 3'
_cell_length_a 4.3425
_cell_length_b 4.3425
_cell_length_c 4.3425
_cell_angle_alpha 90.00
_cell_angle_beta 90.00
_cell_angle_gamma 90.00
loop_
_atom_site_label
_atom_site_type_symbol
_atom_site_fract_x
_atom_site_fract_y
_atom_site_fract_z
B1 B 0.0000 0.0000 0.5000
W1 W 0.0000 0.0000 0.0000
Cl1 Cl 0.5000 0.5000 0.5000

(2)
# ErZnCdNi, optimized geometry, DFT PBE-GGA
# Fermi-level density of states = 0.758 states/eV/atom
# Total magnetic moment = 0.0 μB per formula unit
# Energy = -3.374 eV per atom
# Energy of formation from the pure elements = -0.241 eV/atom
data_ErZnCdNi
_symmetry_space_group_name_H-M 'F -4 3 m'
_symmetry_Int_Tables_number 216
_symmetry_space_group_name_Hall 'F -4 2 3'
_cell_length_a 6.6257
_cell_length_b 6.6257
_cell_length_c 6.6257
_cell_angle_alpha 90.00
_cell_angle_beta 90.00
_cell_angle_gamma 90.00
loop_
_atom_site_label
_atom_site_type_symbol
_atom_site_fract_x
_atom_site_fract_y
_atom_site_fract_z
Er1 Er 0.0000 0.0000 0.0000
Zn1 Zn 0.2500 0.2500 0.7500
Cd1 Cd 0.0000 0.0000 0.5000
Ni1 Ni 0.2500 0.2500 0.2500

(3)
# P2Br, optimized geometry, DFT PBE-GGA
# Fermi-level density of states = 0.364 states/eV/atom
# Total magnetic moment = 0.0 μB per formula unit
# Energy = -3.567 eV per atom
# Energy above the lowest structure with this stoichiometry = 1.94 eV per formula unit
# Formation energy from raw total energies = 597 meV per atom
data_P2Br
_symmetry_space_group_name_H-M 'P 63/m m c'
_symmetry_Int_Tables_number 194
_symmetry_space_group_name_Hall '-P 6c 2c'
_cell_length_a 4.5788
_cell_length_b 4.5788
_cell_length_c 6.4938
_cell_angle_alpha 90.00
_cell_angle_beta 90.00
_cell_angle_gamma 120.00
loop_
_atom_site_label
_atom_site_type_symbol
_atom_site_fract_x
_atom_site_fract_y
_atom_site_fract_z
P1 P 0.3333 0.6667 0.0692
Br1 Br 0.0000 0.0000 0.2500

(4)
# PrS8Cl2, optimized geometry, DFT PBE-GGA
# Fermi-level density of states = 0.227 states/eV/atom
# Total magnetic moment = 1.3 μB per formula unit
# Energy = -4.151 eV per atom
# Formation energy from raw total energies = -379 meV per atom
data_PrS8Cl2
_symmetry_space_group_name_H-M 'C 1 2/m 1'
_symmetry_Int_Tables_number 12
_cell_length_a 12.4174
_cell_length_b 8.0905
_cell_length_c 7.1532
_cell_angle_alpha 90.00
_cell_angle_beta 115.35
_cell_angle_gamma 90.00
loop_
_symmetry_equiv_pos_as_xyz
'x,y,z'
'-x,-y,-z'
'-x,y,-z'
'x,-y,z'
'x+1/2,y+1/2,z'
'-x+1/2,-y+1/2,-z'
'-x+1/2,y+1/2,-z'
'x+1/2,-y+1/2,z'
loop_
_atom_site_label
_atom_site_type_symbol
_atom_site_fract_x
_atom_site_fract_y
_atom_site_fract_z
Pr1 Pr 0.0000 0.0000 0.0000
S1 S 0.0677 0.0000 0.6357
S2 S 0.0916 0.5000 0.8595
S3 S 0.1666 0.3032 0.0424
Cl1 Cl 0.2173 0.0000 0.3228

(5)
# Li2SmBiTe4, optimized geometry, DFT PBE-GGA
# Total magnetic moment = 0.0 μB per formula unit
# Energy = -4.026 eV per atom
# Formation energy from raw total energies = -902 meV per atom
data_Li2SmBiTe4
_symmetry_space_group_name_H-M 'P 1 2/m 1'
_symmetry_Int_Tables_number 10
_cell_length_a 7.5230
_cell_length_b 4.4238
_cell_length_c 7.6656
_cell_angle_alpha 90.00
_cell_angle_beta 109.83
_cell_angle_gamma 90.00
loop_
_symmetry_equiv_pos_as_xyz
'x,y,z'
'-x,-y,-z'
'-x,y,-z'
'x,-y,z'
loop_
_atom_site_label
_atom_site_type_symbol
_atom_site_fract_x
_atom_site_fract_y
_atom_site_fract_z
Li1 Li 0.0000 0.0000 0.0000
Li2 Li 0.0000 0.5000 0.5000
Sm1 Sm 0.5000 0.0000 0.5000
Bi1 Bi 0.5000 0.5000 0.0000
Te1 Te 0.2367 0.0000 0.7464
Te2 Te 0.2396 0.5000 0.2464

(6)
# Dy5UBi6, optimized geometry, DFT PBE-GGA
# Fermi-level density of states = 0.811 states/eV/atom
# Total magnetic moment = 2.7 μB per formula unit
# Energy = -5.480 eV per atom
# Energy of formation from the pure elements = -0.681 eV/atom
data_Dy5UBi6
_symmetry_space_group_name_H-M 'C 1 2/m 1'
_symmetry_Int_Tables_number 12
_cell_length_a 7.7627
_cell_length_b 13.4549
_cell_length_c 7.7668
_cell_angle_alpha 90.00
_cell_angle_beta 109.47
_cell_angle_gamma 90.00
loop_
_symmetry_equiv_pos_as_xyz
'x,y,z'
'-x,-y,-z'
'-x,y,-z'
'x,-y,z'
'x+1/2,y+1/2,z'
'-x+1/2,-y+1/2,-z'
'-x+1/2,y+1/2,-z'
'x+1/2,-y+1/2,z'
loop_
_atom_site_label
_atom_site_type_symbol
_atom_site_fract_x
_atom_site_fract_y
_atom_site_fract_z
Dy1 Dy 0.0000 0.0000 0.0000
Dy2 Dy 0.0000 0.1667 0.5000
Dy3 Dy 0.0000 0.3336 0.0000
U1 U 0.0000 0.5000 0.5000
Bi1 Bi 0.2491 0.0000 0.7498
Bi2 Bi 0.2492 0.1671 0.2489